(1)
DFT (PBE-GGA) results for crystalline BePd2I at its relaxed geometry. Values from VASP.

Values from the calculation:
The formation energy from raw total energies comes out at 0.7 eV/f.u. For the energy above the most stable polymorph in this dataset, the calculation gives 0.0 meV per atom.

```
&SYSTEM
  ibrav = 0, nat = 16, ntyp = 3
/
ATOMIC_SPECIES
Be 9.01 Be.upf
Pd 106.42 Pd.upf
I 126.90 I.upf
CELL_PARAMETERS angstrom
4.9910 0.0000 0.0000
0.0000 4.9910 0.0000
0.0000 0.0000 13.3939
ATOMIC_POSITIONS crystal
Be 0.0000 0.0000 0.0000
Be 0.0000 0.5000 0.2500
Be 0.5000 0.0000 0.7500
Be 0.5000 0.5000 0.5000
Pd 0.1540 0.2500 0.1250
Pd 0.2500 0.6540 0.3750
Pd 0.2500 0.8460 0.8750
Pd 0.3460 0.2500 0.6250
Pd 0.6540 0.7500 0.6250
Pd 0.7500 0.1540 0.8750
Pd 0.7500 0.3460 0.3750
Pd 0.8460 0.7500 0.1250
I 0.0000 0.0000 0.5000
I 0.0000 0.5000 0.7500
I 0.5000 0.0000 0.2500
I 0.5000 0.5000 0.0000
```

---

(2)
DFT (PBE-GGA) results for crystalline BePdI2 at its relaxed geometry. Values from VASP.

Values from the calculation:
The formation energy from raw total energies comes out at 2.8 eV/f.u. For the energy above the most stable polymorph in this dataset, the calculation gives 735.2 meV per atom.

```
&SYSTEM
  ibrav = 0, nat = 16, ntyp = 3
/
ATOMIC_SPECIES
Be 9.01 Be.upf
Pd 106.42 Pd.upf
I 126.90 I.upf
CELL_PARAMETERS angstrom
7.1361 0.0000 0.0000
0.0000 7.1361 0.0000
0.0000 0.0000 7.1361
ATOMIC_POSITIONS crystal
Be 0.0000 0.0000 0.0000
Be 0.0000 0.5000 0.5000
Be 0.5000 0.0000 0.5000
Be 0.5000 0.5000 0.0000
Pd 0.0000 0.0000 0.5000
Pd 0.0000 0.5000 0.0000
Pd 0.5000 0.0000 0.0000
Pd 0.5000 0.5000 0.5000
I 0.2500 0.2500 0.2500
I 0.2500 0.2500 0.7500
I 0.2500 0.7500 0.2500
I 0.2500 0.7500 0.7500
I 0.7500 0.2500 0.2500
I 0.7500 0.2500 0.7500
I 0.7500 0.7500 0.2500
I 0.7500 0.7500 0.7500
```

---

(3)
DFT (PBE-GGA) results for crystalline Be4PdI2 at its relaxed geometry. Values from VASP.

Values from the calculation:
The formation energy from raw total energies comes out at 3.3 eV/f.u.

```
&SYSTEM
  ibrav = 0, nat = 14, ntyp = 3
/
ATOMIC_SPECIES
Be 9.01 Be.upf
Pd 106.42 Pd.upf
I 126.90 I.upf
CELL_PARAMETERS angstrom
4.3872 0.0000 0.0000
0.0000 4.3872 0.0000
0.0000 0.0000 15.1091
ATOMIC_POSITIONS crystal
Be 0.0000 0.0000 0.1490
Be 0.0000 0.0000 0.8510
Be 0.0000 0.5000 0.0000
Be 0.0000 0.5000 0.5000
Be 0.5000 0.0000 0.0000
Be 0.5000 0.0000 0.5000
Be 0.5000 0.5000 0.3510
Be 0.5000 0.5000 0.6490
Pd 0.0000 0.0000 0.0000
Pd 0.5000 0.5000 0.5000
I 0.0000 0.0000 0.3114
I 0.0000 0.0000 0.6886
I 0.5000 0.5000 0.1886
I 0.5000 0.5000 0.8114
```

---

(4)
DFT (PBE-GGA) results for crystalline BePdI3 at its relaxed geometry. Values from VASP.

Values from the calculation:
The formation energy from raw total energies comes out at 2.3 eV/f.u. For the energy above the most stable polymorph in this dataset, the calculation gives 0.0 meV per atom.

```
&SYSTEM
  ibrav = 0, nat = 5, ntyp = 3
/
ATOMIC_SPECIES
Be 9.01 Be.upf
Pd 106.42 Pd.upf
I 126.90 I.upf
CELL_PARAMETERS angstrom
5.2677 0.0000 0.0000
0.0000 5.2677 0.0000
0.0000 0.0000 5.2677
ATOMIC_POSITIONS crystal
Be 0.0000 0.0000 0.0000
Pd 0.5000 0.5000 0.5000
I 0.0000 0.0000 0.5000
I 0.0000 0.5000 0.0000
I 0.5000 0.0000 0.0000
```

---

| no. | energy (eV per formula unit) |
| --- | --- |
| 1 | -14.92 |
| 2 | -9.25 |
| 3 | -19.91 |
| 4 | -11.24 |